Here is crystalline ZrNiF3 at its relaxed geometry from Alexandria. Energies are from GGA+U.

POSCAR file:
```
ZrNiF3
1.0
4.0388 0.0000 0.0000
0.0000 4.0388 0.0000
0.0000 0.0000 4.0388
F Zr Ni
3 1 1
direct
0.5000 0.0000 0.0000
0.0000 0.5000 0.0000
0.0000 0.0000 0.5000
0.5000 0.5000 0.5000
0.0000 0.0000 0.0000
```

- distance to the lowest polymorph of the same formula (kJ/mol of atoms) = 59.8
- space-group type = No. 221